Entry 1:
VASP calculation (PBE) on a relaxed ZrP crystal.

The calculation puts the raw total energy at -8.06 eV/atom. For the spin magnetization, the calculation gives 0.0 μB/cell. As for the formation enthalpy at 0 K: -2.2 eV per formula unit.

Cell lengths 4.4786, 4.4786, 5.2100 Å; angles 90.00, 90.00, 120.00 degrees
Space group P6_3/mmc (No. 194)
Symmetry-distinct sites (fractional):
Zr1 0.3333 0.6667 0.2500 x2
P1 0.3333 0.6667 0.7500 x2

Entry 2:
VASP calculation (PBE) on a relaxed Zr3P2 crystal.

The calculation puts the raw total energy at -8.30 eV/atom. For the spin magnetization, the calculation gives 0.0 μB/cell. The value obtained for the energy relative to the lowest polymorph listed for this composition is 93.7 meV/atom. As for the formation enthalpy at 0 K: -5.1 eV per formula unit.

Cell lengths 4.0973, 4.0973, 6.7711 Å; angles 90.00, 90.00, 120.00 degrees
Space group P-3m1 (No. 164)
Symmetry-distinct sites (fractional):
Zr1 0.0000 0.0000 0.0000 x1
Zr2 0.3333 0.6667 0.3534 x2
P1 0.3333 0.6667 0.7884 x2

Entry 3:
VASP calculation (PBE) on a relaxed ZrP crystal.

The calculation puts the raw total energy at -6.89 eV/atom. For the spin magnetization, the calculation gives 0.0 μB/cell. As for the formation enthalpy at 0 K: 0.2 eV per formula unit.

Cell lengths 4.6303, 4.6303, 8.1995 Å; angles 90.00, 90.00, 120.00 degrees
Space group P6_3/mmc (No. 194)
Symmetry-distinct sites (fractional):
Zr1 0.0000 0.0000 0.2500 x2
Zr2 0.3333 0.6667 0.2500 x2
P1 0.3333 0.6667 0.5968 x4

Entry 4:
VASP calculation (PBE) on a relaxed Zr4P crystal.

The calculation puts the raw total energy at -7.55 eV/atom. For the spin magnetization, the calculation gives 0.0 μB/cell. The value obtained for the energy relative to the lowest polymorph listed for this composition is 714.1 meV/atom. As for the formation enthalpy at 0 K: 1.8 eV per formula unit.

Cell lengths 3.7099, 3.7099, 16.4713 Å; angles 90.00, 90.00, 90.00 degrees
Space group I4/mmm (No. 139)
Symmetry-distinct sites (fractional):
Zr1 0.0000 0.0000 0.0858 x4
Zr2 0.0000 0.5000 0.2500 x4
P1 0.0000 0.0000 0.5000 x2

Entry 5:
VASP calculation (PBE) on a relaxed ZrP crystal.

The calculation puts the raw total energy at -7.48 eV/atom. For the spin magnetization, the calculation gives 0.0 μB/cell. As for the formation enthalpy at 0 K: -1.0 eV per formula unit.

Cell lengths 7.1990, 7.1990, 7.1990 Å; angles 90.00, 90.00, 90.00 degrees
Space group Pm-3n (No. 223)
Symmetry-distinct sites (fractional):
Zr1 0.0000 0.2500 0.5000 x6
P1 0.0000 0.5000 0.2500 x6

Entry 6:
VASP calculation (PBE) on a relaxed ZrP crystal.

The calculation puts the raw total energy at -7.70 eV/atom. For the spin magnetization, the calculation gives 0.0 μB/cell. As for the formation enthalpy at 0 K: -1.4 eV per formula unit.

Cell lengths 3.9295, 12.8551, 5.9682 Å; angles 90.00, 90.00, 90.00 degrees
Space group Pmmn (No. 59, origin choice 2)
Symmetry-distinct sites (fractional):
Zr1 0.2500 0.1123 0.0307 x4
Zr2 0.2500 0.7500 0.3732 x2
P1 0.2500 0.2500 0.3424 x2
P2 0.2500 0.5644 0.2243 x4